CePrNdCo: optimized geometry, PBE.

**E_form**: 6.3 kJ/mol of atoms

Unit cell a=3.7293 b=3.7319 c=9.4429 alpha=89.91 beta=89.90 gamma=60.11
Last column: nearest neighbours and their distance in Å.
Fractional coordinates of all 4 atoms:
Ce  0.0000  0.0000  0.0000  3 Co 2.58-2.61
Pr  0.3344  0.3378  0.6855  3 Ce 3.66-3.67, 3 Nd 3.71-3.72, 6 Pr 3.73-3.74
Nd  0.0013  0.0026  0.3652  3 Co 2.94-2.95
Co  0.3351  0.3366  0.1524  3 Ce 2.58-2.61



Sr2Si3PdPt12: optimized geometry, PBE.

**Raw total energy**: -102.85 eV per cell

Unit cell a=7.7965 b=7.7965 c=7.7965 alpha=64.12 beta=64.12 gamma=64.12
Last column: nearest neighbours and their distance in Å.
Fractional coordinates of all 18 atoms:
Sr  0.1093  0.1093  0.1093  6 Pt 2.98
Sr  0.8907  0.8907  0.8907  6 Pt 2.98
Si  0.0000  0.5000  0.5000  6 Pt 2.31-2.36
Si  0.5000  0.0000  0.5000  6 Pt 2.31-2.36
Si  0.5000  0.5000  0.0000  6 Pt 2.31-2.36
Pd  0.5000  0.5000  0.5000  6 Pt 2.54
Pt  0.1202  0.6275  0.6275  1 Si 2.31, 1 Pd 2.54
Pt  0.1498  0.1498  0.5954  2 Si 2.36
Pt  0.1498  0.5954  0.1498  2 Si 2.36
Pt  0.3725  0.3725  0.8798  1 Si 2.31, 1 Pd 2.54
Pt  0.3725  0.8798  0.3725  1 Si 2.31, 1 Pd 2.54
Pt  0.4046  0.8502  0.8502  2 Si 2.36
Pt  0.5954  0.1498  0.1498  2 Si 2.36
Pt  0.6275  0.1202  0.6275  1 Si 2.31, 1 Pd 2.54
Pt  0.6275  0.6275  0.1202  1 Si 2.31, 1 Pd 2.54
Pt  0.8502  0.4046  0.8502  2 Si 2.36
Pt  0.8502  0.8502  0.4046  2 Si 2.36
Pt  0.8798  0.3725  0.3725  1 Si 2.31, 1 Pd 2.54



InAgPb2I6: optimized geometry, PBE.

**Raw total energy**: -27.13 eV per cell

Unit cell a=8.1171 b=8.1266 c=8.8249 alpha=62.63 beta=62.62 gamma=60.05
Last column: nearest neighbours and their distance in Å.
Fractional coordinates of all 10 atoms:
In  0.0000  0.0000  0.0000  6 I 3.39-3.54
Ag  0.4932  0.4935  0.5193  6 I 3.07-3.12
Pb  0.3048  0.3055  0.0845  6 I 3.25-3.31
Pb  0.8130  0.8134  0.5608  6 I 3.22-3.31
I  0.0983  0.4251  0.7823  1 Ag 3.12, 2 Pb 3.22-3.31, 1 In 3.39
I  0.2383  0.8836  0.3052  1 Ag 3.07, 2 Pb 3.25-3.31
I  0.4247  0.6937  0.7826  1 Ag 3.12, 2 Pb 3.22-3.31, 1 In 3.39
I  0.5733  0.2385  0.3048  1 Ag 3.07, 2 Pb 3.25-3.31
I  0.6934  0.0994  0.7824  1 Ag 3.12, 2 Pb 3.22-3.31, 1 In 3.39
I  0.8831  0.5737  0.3051  1 Ag 3.07, 2 Pb 3.25-3.31



VTcGe2: optimized geometry, PBE.

**E above lowest polymorph**: 7.3 kJ/mol of formula units
**E_form**: -4.3 kJ/mol of atoms

Unit cell a=9.2332 b=9.2332 c=4.2734 alpha=90.04 beta=90.04 gamma=140.35
Last column: nearest neighbours and their distance in Å.
Fractional coordinates of all 16 atoms:
V  0.0503  0.9497  0.7500  8 Ge 2.57-2.81, 2 V 2.76
V  0.3099  0.6901  0.7500  8 Ge 2.65-2.67
V  0.6901  0.3099  0.2500  8 Ge 2.65-2.67
V  0.9497  0.0503  0.2500  8 Ge 2.57-2.81, 2 V 2.76
Tc  0.1895  0.8105  0.2500  8 Ge 2.64-2.70
Tc  0.4335  0.5665  0.2500  8 Ge 2.60-2.74
Tc  0.5665  0.4335  0.7500  8 Ge 2.60-2.74
Tc  0.8105  0.1895  0.7500  8 Ge 2.64-2.70
Ge  0.0615  0.4322  0.2501  4 Tc 2.60-2.69, 4 V 2.66-2.81
Ge  0.1931  0.3227  0.7497  4 V 2.57-2.69, 4 Tc 2.62-2.74
Ge  0.3227  0.1931  0.2497  4 V 2.57-2.69, 4 Tc 2.62-2.74
Ge  0.4322  0.0615  0.7501  4 Tc 2.60-2.69, 4 V 2.66-2.81
Ge  0.5678  0.9385  0.2499  4 Tc 2.60-2.69, 4 V 2.66-2.81
Ge  0.6773  0.8069  0.7503  4 V 2.57-2.69, 4 Tc 2.62-2.74
Ge  0.8069  0.6773  0.2503  4 V 2.57-2.69, 4 Tc 2.62-2.74
Ge  0.9385  0.5678  0.7499  4 Tc 2.60-2.69, 4 V 2.66-2.81



P2IrPt: optimized geometry, PBE.

**E above lowest polymorph**: 271.7 kJ/mol of formula units
**E_form**: 30.6 kJ/mol of atoms

Unit cell a=2.7930 b=4.2573 c=4.9556 alpha=90.00 beta=90.00 gamma=90.00
Last column: nearest neighbours and their distance in Å.
Fractional coordinates of all 4 atoms:
P  0.0000  0.0000  0.0000  4 Pt 2.55, 6 P 2.79-2.84
P  0.5000  0.0000  0.5000  4 Ir 2.55, 6 P 2.79-2.84
Ir  0.0000  0.5000  0.5000  4 P 2.55, 2 Ir 2.79, 4 Pt 2.84
Pt  0.5000  0.5000  0.0000  4 P 2.55, 2 Pt 2.79, 4 Ir 2.84



Na2IrAuF6: optimized geometry, PBE.

**Raw total energy**: -41.18 eV per cell

Unit cell a=6.2293 b=6.2293 c=6.2293 alpha=60.00 beta=60.00 gamma=60.00
Last column: nearest neighbours and their distance in Å.
Fractional coordinates of all 10 atoms:
Na  0.2500  0.2500  0.2500  12 F 3.12
Na  0.7500  0.7500  0.7500  12 F 3.12
Ir  0.0000  0.0000  0.0000  6 F 2.04
Au  0.5000  0.5000  0.5000  6 F 2.37
F  0.2314  0.2314  0.7686  1 Ir 2.04
F  0.2314  0.7686  0.2314  1 Ir 2.04
F  0.2314  0.7686  0.7686  1 Ir 2.04
F  0.7686  0.2314  0.2314  1 Ir 2.04
F  0.7686  0.2314  0.7686  1 Ir 2.04
F  0.7686  0.7686  0.2314  1 Ir 2.04



Sr2SmTe3: optimized geometry, PBE.

**E above lowest polymorph**: 4.5 kJ/mol of formula units

Unit cell a=4.6014 b=6.5442 c=13.9384 alpha=90.00 beta=90.00 gamma=90.00
Last column: nearest neighbours and their distance in Å.
Fractional coordinates of all 12 atoms:
Sr  0.0000  0.0000  0.1694  6 Te 3.28-3.33
Sr  0.0000  0.0000  0.8306  6 Te 3.28-3.33
Sr  0.5000  0.5000  0.3306  6 Te 3.28-3.33
Sr  0.5000  0.5000  0.6694  6 Te 3.28-3.33
Sm  0.0000  0.0000  0.5000  6 Te 3.19-3.27
Sm  0.5000  0.5000  0.0000  6 Te 3.19-3.27
Te  0.0000  0.5000  0.1584  2 Sm 3.19, 4 Sr 3.28-3.33
Te  0.0000  0.5000  0.5000  2 Sm 3.27, 4 Sr 3.30
Te  0.0000  0.5000  0.8416  2 Sm 3.19, 4 Sr 3.28-3.33
Te  0.5000  0.0000  0.0000  2 Sm 3.27, 4 Sr 3.30
Te  0.5000  0.0000  0.3416  2 Sm 3.19, 4 Sr 3.28-3.33
Te  0.5000  0.0000  0.6584  2 Sm 3.19, 4 Sr 3.28-3.33



Ag2BiPb: optimized geometry, PBE.

**E_form**: 12.1 kJ/mol of atoms

Unit cell a=5.2599 b=7.4613 c=5.6106 alpha=90.00 beta=103.64 gamma=90.00
Last column: nearest neighbours and their distance in Å.
Fractional coordinates of all 8 atoms:
Ag  0.2352  0.0556  0.4140  3 Ag 2.85-2.98, 2 Bi 2.97-3.12, 1 Pb 3.09
Ag  0.2352  0.4444  0.4140  3 Ag 2.85-2.98, 2 Bi 2.97-3.12, 1 Pb 3.09
Ag  0.7648  0.5556  0.5860  3 Ag 2.85-2.98, 2 Bi 2.97-3.12, 1 Pb 3.09
Ag  0.7648  0.9444  0.5860  3 Ag 2.85-2.98, 2 Bi 2.97-3.12, 1 Pb 3.09
Bi  0.3176  0.7500  0.7634  6 Ag 2.97-3.19, 2 Pb 3.27-3.29
Bi  0.6824  0.2500  0.2366  6 Ag 2.97-3.19, 2 Pb 3.27-3.29
Pb  0.0951  0.2500  0.8768  6 Ag 3.09-3.27, 2 Bi 3.27-3.29
Pb  0.9049  0.7500  0.1232  6 Ag 3.09-3.27, 2 Bi 3.27-3.29



La8Y: optimized geometry, PBE.

**E_form**: 1.1 kJ/mol of atoms

Unit cell a=8.2794 b=8.2794 c=8.2794 alpha=95.83 beta=95.83 gamma=142.83
Last column: nearest neighbours and their distance in Å.
Fractional coordinates of all 9 atoms:
La  0.0000  0.3325  0.3325  1 Y 3.69, 11 La 3.69-3.72
La  0.0000  0.6675  0.6675  1 Y 3.69, 11 La 3.69-3.72
La  0.3325  0.0000  0.3325  1 Y 3.69, 11 La 3.69-3.72
La  0.3327  0.3327  0.6654  10 La 3.69-3.71, 2 Y 3.72
La  0.3327  0.6673  0.0000  10 La 3.69-3.71, 2 Y 3.72
La  0.6675  0.0000  0.6675  1 Y 3.69, 11 La 3.69-3.72
La  0.6673  0.3327  0.0000  10 La 3.69-3.71, 2 Y 3.72
La  0.6673  0.6673  0.3346  10 La 3.69-3.71, 2 Y 3.72
Y  0.0000  0.0000  0.0000  12 La 3.69-3.72



Sr2CaLaZn: optimized geometry, PBE.

**E_form**: 9.4 kJ/mol of atoms

Unit cell a=6.1851 b=6.1851 c=5.8572 alpha=90.00 beta=90.00 gamma=90.00
Last column: nearest neighbours and their distance in Å.
Fractional coordinates of all 5 atoms:
Sr  0.0000  0.5000  0.0000  2 Zn 3.09
Sr  0.5000  0.0000  0.0000  2 Zn 3.09
Ca  0.0000  0.0000  0.5000  8 Sr 4.26, 4 La 4.37
La  0.5000  0.5000  0.5000  2 Zn 2.93
Zn  0.5000  0.5000  0.0000  2 La 2.93, 4 Sr 3.09



NaZn2H3S2O8: optimized geometry, PBE.

**Raw total energy**: -165.50 eV per cell

Unit cell a=6.3952 b=7.9234 c=8.9878 alpha=100.03 beta=109.62 gamma=112.26
Last column: nearest neighbours and their distance in Å.
Fractional coordinates of all 32 atoms:
Na  0.0737  0.1724  0.4132  5 O 2.40-2.56
Na  0.9263  0.8276  0.5868  5 O 2.40-2.56
Zn  0.0000  0.0000  0.0000  6 O 2.09-2.25
Zn  0.3113  0.8252  0.3050  6 O 2.09-2.21
Zn  0.5000  0.0000  0.0000  6 O 2.13-2.21
Zn  0.6887  0.1748  0.6950  6 O 2.09-2.21
H  0.0498  0.5601  0.7653  1 O 1.00
H  0.1105  0.7190  0.9911  1 O 0.99
H  0.2022  0.4439  0.2330  1 O 1.00
H  0.7978  0.5561  0.7670  1 O 1.00
H  0.8895  0.2810  0.0089  1 O 0.99
H  0.9502  0.4399  0.2347  1 O 1.00
S  0.2612  0.2562  0.7998  3 O 1.53-1.58
S  0.4348  0.7004  0.6516  3 O 1.55-1.56
S  0.5652  0.2996  0.3484  3 O 1.55-1.56
S  0.7388  0.7438  0.2002  3 O 1.53-1.58
O  0.0068  0.8230  0.3439  1 S 1.55
O  0.0908  0.5053  0.2060  2 H 1.00
O  0.2102  0.8552  0.0686  1 H 0.99
O  0.2289  0.0802  0.8664  1 S 1.58
O  0.2922  0.2546  0.2355  1 S 1.55
O  0.3203  0.7444  0.7706  1 S 1.55
O  0.4082  0.2479  0.6977  1 S 1.53
O  0.4729  0.8638  0.5730  1 S 1.56
O  0.5271  0.1362  0.4270  1 S 1.56
O  0.5918  0.7521  0.3023  1 S 1.53
O  0.6797  0.2556  0.2294  1 S 1.55
O  0.7078  0.7454  0.7645  1 S 1.55
O  0.7711  0.9198  0.1336  1 S 1.58
O  0.7898  0.1448  0.9314  1 H 0.99
O  0.9092  0.4947  0.7940  2 H 1.00
O  0.9932  0.1770  0.6561  1 S 1.55



Spin magnetization values (in μB/cell) by entry order: 0.00; 0.00; 0.00; 4.32; 0.00; 0.19; 0.00; 0.00; 0.00; 0.04; 0.00.